A | A plane-wave DFT calculation with PBE+U was carried out for LiCrIO2 after structural relaxation.

## Properties
SG: P4/mmm (123)

POSCAR file:
```
LiCrIO2
1.0
3.759 0.000 0.000
0.000 3.759 0.000
0.000 0.000 6.866
Li Cr I O
1 1 1 2
Direct
0.000 0.000 0.000 Li
0.500 0.500 0.500 Cr
0.500 0.500 0.000 I
0.000 0.500 0.500 O
0.500 0.000 0.500 O
```


B | A plane-wave DFT calculation with PBE+U was carried out for LiCrIO2 after structural relaxation.

## Properties
SG: P4/mmm (123)

POSCAR file:
```
LiCrIO2
1.0
4.007 0.000 0.000
0.000 4.007 0.000
0.000 0.000 5.278
Li Cr I O
1 1 1 2
Direct
0.000 0.000 0.000 Li
0.500 0.500 0.500 Cr
0.000 0.000 0.500 I
0.000 0.500 0.000 O
0.500 0.000 0.000 O
```


Most stable: A (next structure +987 meV/atom)